# 1
Entry from Alexandria via LeMat-Bulk: Pa3Si3Rh2 after structural relaxation (PBE-GGA).

a = 7.705 Å, b = 14.173 Å, c = 5.653 Å
α = 90.00°, β = 90.00°, γ = 90.00°
Fractional coordinates of all 32 atoms:
Pa (0.035, 0.110, 0.120)
Pa (0.035, 0.390, 0.120)
Pa (0.182, 0.250, 0.618)
Pa (0.318, 0.750, 0.118)
Pa (0.465, 0.610, 0.620)
Pa (0.465, 0.890, 0.620)
Pa (0.535, 0.110, 0.380)
Pa (0.535, 0.390, 0.380)
Pa (0.682, 0.250, 0.882)
Pa (0.818, 0.750, 0.382)
Pa (0.965, 0.610, 0.880)
Pa (0.965, 0.890, 0.880)
Si (0.180, 0.750, 0.623)
Si (0.189, 0.039, 0.596)
Si (0.189, 0.461, 0.596)
Si (0.311, 0.539, 0.096)
Si (0.311, 0.961, 0.096)
Si (0.320, 0.250, 0.123)
Si (0.680, 0.750, 0.877)
Si (0.689, 0.039, 0.904)
Si (0.689, 0.461, 0.904)
Si (0.811, 0.539, 0.404)
Si (0.811, 0.961, 0.404)
Si (0.820, 0.250, 0.377)
Rh (0.104, 0.608, 0.376)
Rh (0.104, 0.892, 0.376)
Rh (0.396, 0.108, 0.876)
Rh (0.396, 0.392, 0.876)
Rh (0.604, 0.608, 0.124)
Rh (0.604, 0.892, 0.124)
Rh (0.896, 0.108, 0.624)
Rh (0.896, 0.392, 0.624)

- uncorrected formation energy (eV/f.u.) = -6.09
- E above lowest polymorph (eV/atom) = 0.044



# 2
Entry from Alexandria via LeMat-Bulk: Pm2SeI after structural relaxation (PBE-GGA).

a = 4.074 Å, b = 4.074 Å, c = 24.361 Å
α = 90.00°, β = 90.00°, γ = 120.00°
Fractional coordinates of all 12 atoms:
Pm (0.000, 0.000, 0.000)
Pm (0.000, 0.000, 0.194)
Pm (0.333, 0.667, 0.667)
Pm (0.333, 0.667, 0.861)
Pm (0.667, 0.333, 0.333)
Pm (0.667, 0.333, 0.528)
Se (0.000, 0.000, 0.597)
Se (0.333, 0.667, 0.263)
Se (0.667, 0.333, 0.930)
I (0.000, 0.000, 0.430)
I (0.333, 0.667, 0.097)
I (0.667, 0.333, 0.763)

- uncorrected formation energy (eV/f.u.) = -5.32
- E above lowest polymorph (eV/atom) = 0.000



# 3
Entry from Alexandria via LeMat-Bulk: YThScIn after structural relaxation (PBE-GGA).

a = 7.642 Å, b = 7.642 Å, c = 7.642 Å
α = 90.00°, β = 90.00°, γ = 90.00°
Fractional coordinates of all 16 atoms:
Y (0.000, 0.000, 0.000)
Y (0.000, 0.500, 0.500)
Y (0.500, 0.000, 0.500)
Y (0.500, 0.500, 0.000)
Th (0.000, 0.000, 0.500)
Th (0.000, 0.500, 0.000)
Th (0.500, 0.000, 0.000)
Th (0.500, 0.500, 0.500)
Sc (0.250, 0.250, 0.750)
Sc (0.250, 0.750, 0.250)
Sc (0.750, 0.250, 0.250)
Sc (0.750, 0.750, 0.750)
In (0.250, 0.250, 0.250)
In (0.250, 0.750, 0.750)
In (0.750, 0.250, 0.750)
In (0.750, 0.750, 0.250)

- formation enthalpy at 0 K (eV per formula unit) = -0.39



# 4
Entry from Alexandria via LeMat-Bulk: Cs2MgTlBi2 after structural relaxation (PBE-GGA).

a = 10.482 Å, b = 10.482 Å, c = 10.482 Å
α = 137.85°, β = 60.94°, γ = 138.11°
Fractional coordinates of all 12 atoms:
Cs (0.169, 0.232, 0.401)
Cs (0.331, 0.732, 0.063)
Cs (0.669, 0.268, 0.937)
Cs (0.831, 0.768, 0.599)
Mg (0.250, 0.750, 0.500)
Mg (0.750, 0.250, 0.500)
Tl (0.250, 0.250, 0.000)
Tl (0.750, 0.750, 0.000)
Bi (0.096, 0.725, 0.821)
Bi (0.404, 0.225, 0.629)
Bi (0.596, 0.775, 0.371)
Bi (0.904, 0.275, 0.179)

- formation enthalpy at 0 K (eV per formula unit) = -2.23



# 5
Entry from Alexandria via LeMat-Bulk: YMn5P3 after structural relaxation (PBE-GGA).

a = 6.259 Å, b = 6.259 Å, c = 10.843 Å
α = 90.00°, β = 90.00°, γ = 145.17°
Fractional coordinates of all 18 atoms:
Y (0.169, 0.831, 0.750)
Y (0.831, 0.169, 0.250)
Mn (0.000, 0.000, 0.000)
Mn (0.000, 0.000, 0.500)
Mn (0.192, 0.808, 0.059)
Mn (0.192, 0.808, 0.441)
Mn (0.451, 0.549, 0.647)
Mn (0.451, 0.549, 0.853)
Mn (0.549, 0.451, 0.147)
Mn (0.549, 0.451, 0.353)
Mn (0.808, 0.192, 0.559)
Mn (0.808, 0.192, 0.941)
P (0.114, 0.886, 0.250)
P (0.377, 0.623, 0.051)
P (0.377, 0.623, 0.449)
P (0.623, 0.377, 0.551)
P (0.623, 0.377, 0.949)
P (0.886, 0.114, 0.750)

- formation enthalpy at 0 K (eV per formula unit) = -5.88



# 6
Entry from Alexandria via LeMat-Bulk: La5Tl2Ru after structural relaxation (PBE-GGA).

a = 7.564 Å, b = 7.564 Å, c = 9.061 Å
α = 90.00°, β = 90.00°, γ = 90.00°
Fractional coordinates of all 16 atoms:
La (0.000, 0.000, 0.000)
La (0.247, 0.247, 0.742)
La (0.247, 0.753, 0.742)
La (0.253, 0.253, 0.242)
La (0.253, 0.747, 0.242)
La (0.500, 0.500, 0.500)
La (0.747, 0.253, 0.242)
La (0.747, 0.747, 0.242)
La (0.753, 0.247, 0.742)
La (0.753, 0.753, 0.742)
Tl (0.000, 0.500, 0.484)
Tl (0.000, 0.500, 0.984)
Tl (0.500, 0.000, 0.484)
Tl (0.500, 0.000, 0.984)
Ru (0.000, 0.000, 0.311)
Ru (0.500, 0.500, 0.811)

- formation enthalpy at 0 K (eV per formula unit) = -1.58
- E above lowest polymorph (eV/atom) = 0.167



# 7
Entry from Alexandria via LeMat-Bulk: UTl3Cr2S6 after structural relaxation (PBE-GGA).

a = 6.225 Å, b = 6.225 Å, c = 8.791 Å
α = 99.89°, β = 99.89°, γ = 119.92°
Fractional coordinates of all 12 atoms:
U (0.000, 0.000, 0.000)
Tl (0.000, 0.000, 0.500)
Tl (0.332, 0.668, 0.500)
Tl (0.668, 0.332, 0.500)
Cr (0.333, 0.667, 0.000)
Cr (0.667, 0.333, 0.000)
S (0.080, 0.721, 0.169)
S (0.279, 0.920, 0.831)
S (0.441, 0.441, 0.168)
S (0.559, 0.559, 0.832)
S (0.721, 0.080, 0.169)
S (0.920, 0.279, 0.831)

- uncorrected formation energy (eV/f.u.) = -8.96



# 8
Entry from Alexandria via LeMat-Bulk: LaFeW2 after structural relaxation (PBE-GGA).

a = 2.930 Å, b = 2.930 Å, c = 8.390 Å
α = 90.00°, β = 90.00°, γ = 90.00°
Fractional coordinates of all 4 atoms:
La (0.000, 0.000, 0.000)
Fe (0.500, 0.500, 0.719)
W (0.000, 0.000, 0.559)
W (0.500, 0.500, 0.316)

- formation enthalpy at 0 K (eV per formula unit) = 2.00
- E above lowest polymorph (eV/atom) = 0.000



Number 1: spin magnetization 0.00 μB/f.u., ρ 10.58 g cm⁻³, total DFT energy (no corrections) -8.19 eV/atom. Number 2: spin magnetization 0.00 μB/f.u., ρ 7.05 g cm⁻³, total DFT energy (no corrections) -4.96 eV/atom. Number 3: spin magnetization 0.00 μB/f.u., ρ 7.15 g cm⁻³, total DFT energy (no corrections) -5.84 eV/atom. Number 4: spin magnetization 0.00 μB/f.u., ρ 5.94 g cm⁻³, total DFT energy (no corrections) -2.61 eV/atom. Number 5: spin magnetization 4.88 μB/f.u., ρ 6.25 g cm⁻³, total DFT energy (no corrections) -8.27 eV/atom. Number 6: spin magnetization 0.00 μB/f.u., ρ 7.71 g cm⁻³, total DFT energy (no corrections) -5.03 eV/atom. Number 7: spin magnetization 7.88 μB/f.u., ρ 6.87 g cm⁻³, total DFT energy (no corrections) -5.95 eV/atom. Number 8: spin magnetization 0.00 μB/f.u., ρ 12.96 g cm⁻³, total DFT energy (no corrections) -9.32 eV/atom.